# 1
The following is a PBE calculation of a relaxed structure of OsPt3I, from the Alexandria database.

Structure (extended XYZ):
```
5
Lattice="4.8878 0.0000 0.0000 0.0000 4.8878 0.0000 0.0000 0.0000 4.8878" Properties=species:S:1:pos:R:3 pbc="T T T"
I 2.4439 2.4439 2.4439
Os 0.0000 0.0000 0.0000
Pt 0.0000 2.4439 0.0000
Pt 0.0000 0.0000 2.4439
Pt 2.4439 0.0000 0.0000
```

Properties
The value obtained for the formation energy (no corrections) is 1.30 eV per atom. The calculation puts the offset from the most stable computed form at 0.0 meV/atom. The theoretical density comes out at 12.832 Mg/m³. As for the uncorrected energy: -4.879 eV per atom.


# 2
The following is a PBE calculation of a relaxed structure of TbSm2ErMg, from the Alexandria database.

Structure (extended XYZ):
```
10
Lattice="-0.5210 -7.0006 0.3930 5.0602 -0.0596 5.6438 -4.3928 0.5486 3.9468" Properties=species:S:1:pos:R:3 pbc="T T T"
Tb -1.4198 -4.1840 1.2294
Tb 1.5661 -2.3277 8.7543
Sm -0.0559 -4.5052 7.2481
Sm -2.1987 -4.4797 4.8632
Sm 2.3450 -2.0319 5.1205
Sm 0.2023 -2.0064 2.7355
Er -0.8459 -0.7117 5.8435
Er 0.9922 -5.8000 4.1401
Mg 0.0000 0.0000 0.0000
Mg -2.1964 0.2743 1.9734
```

Properties
The formation enthalpy at 0 K comes out at 0.177 eV per atom. The theoretical density comes out at 6.842 Mg/m³. As for the uncorrected energy: -3.868 eV per atom.


# 3
The following is a PBE calculation of a relaxed structure of NiSbSe2N, from the Alexandria database.

Structure (extended XYZ):
```
5
Lattice="5.0524 0.0000 0.0000 0.0000 5.0524 0.0000 0.0000 0.0000 3.5109" Properties=species:S:1:pos:R:3 pbc="T T T"
Sb 2.5262 2.5262 1.7554
N 0.0000 0.0000 1.7554
Se 0.0000 2.5262 0.0000
Se 2.5262 0.0000 0.0000
Ni 0.0000 0.0000 0.0000
```

Properties
The value obtained for the formation energy (no corrections) is 0.41 eV per atom. The calculation puts the offset from the most stable computed form at 0.0 meV/atom. The theoretical density comes out at 6.529 Mg/m³. As for the uncorrected energy: -4.628 eV per atom.


# 4
The following is a PBE calculation of a relaxed structure of CaBrO2, from the Alexandria database.

Structure (extended XYZ):
```
16
Lattice="-6.2990 1.3456 1.9077 -2.5053 -6.0560 -4.0006 0.7443 -3.6163 5.0082" Properties=species:S:1:pos:R:3 pbc="T T T"
Ca -2.8300 -5.2109 -3.2382
Ca -5.5822 -1.4050 3.7840
Ca -3.0602 -3.5947 1.8280
Ca -5.3519 -3.0211 -1.2822
O -4.7093 -5.1338 -1.9229
O -3.5140 -2.3993 3.7390
O -0.9053 -4.3794 1.9215
O -7.3180 -3.1537 -0.1054
O -2.5855 -7.8695 -0.1903
O -5.6073 0.1881 2.2119
O -3.3654 -2.6786 -0.1913
O -4.8274 -5.0028 2.2128
Br -1.5240 -5.7007 3.3404
Br -6.2601 -3.9666 1.4314
Br -3.9808 -6.7429 -0.9121
Br -3.8033 -2.9244 5.6838
```

Properties
The value obtained for the formation energy (no corrections) is -1.22 eV per atom. The calculation puts the offset from the most stable computed form at 240.4 meV/atom. The theoretical density comes out at 3.145 Mg/m³. As for the uncorrected energy: -4.615 eV per atom.


# 5
The following is a PBE calculation of a relaxed structure of ReSbIr2, from the Alexandria database.

Structure (extended XYZ):
```
4
Lattice="8.9159 -0.0170 -0.0100 8.4377 2.8806 -0.0100 8.4377 1.3923 2.5218" Properties=species:S:1:pos:R:3 pbc="T T T"
Ir 0.0208 0.0034 0.0020
Ir 6.3850 1.0536 0.6193
Re 12.9706 2.1403 1.2582
Sb 19.3106 3.1865 1.8731
```

Properties
The value obtained for the formation energy (no corrections) is 0.43 eV per atom. The theoretical density comes out at 17.586 Mg/m³. As for the uncorrected energy: -8.139 eV per atom.


# 6
The following is a PBE calculation of a relaxed structure of Ba2PIO4, from the Alexandria database.

Structure (extended XYZ):
```
32
Lattice="-5.6334 4.5161 -6.0038 -5.7272 1.7999 6.7278 2.0249 8.4520 4.4577" Properties=species:S:1:pos:R:3 pbc="T T T"
Ba -4.0482 3.4906 1.9297
Ba -3.0550 10.8835 -0.7846
Ba -5.2874 11.2775 3.2519
Ba -6.2807 3.8846 5.9663
Ba -5.7948 9.5888 7.8002
Ba -7.3082 6.8038 -0.2180
Ba -3.5408 5.1793 -2.6186
Ba -2.0274 7.9642 5.3996
P -2.6108 9.6990 8.9234
P -7.4023 4.2166 1.9519
P -6.7248 5.0691 -3.7418
P -1.9333 10.5515 3.2297
I -8.3626 9.6867 1.7900
I -5.6226 7.4131 4.8522
I -0.9731 5.0814 3.3916
I -3.7131 7.3550 0.3294
O -4.0290 2.6933 4.5689
O -6.3029 11.4777 5.9668
O -5.3066 12.0747 0.6128
O -3.0328 3.2904 -0.7852
O -2.0955 1.5541 1.6406
O -2.7064 10.9751 1.9571
O -7.2401 13.2140 3.5410
O -6.6292 3.7929 3.2246
O -8.2724 5.4973 2.1263
O -2.9724 9.4056 7.4365
O -1.0632 9.2708 3.0554
O -6.3633 5.3625 -2.2548
O -2.9570 10.2761 4.3825
O -5.3946 5.0989 -4.5680
O -6.3786 4.4920 0.7991
O -3.9410 9.6692 9.7496
```

Properties
The value obtained for the formation energy (no corrections) is -2.71 eV per atom. The theoretical density comes out at 4.314 Mg/m³. As for the uncorrected energy: -6.537 eV per atom.


# 7
The following is a PBE calculation of a relaxed structure of Fe2NiIr, from the Alexandria database.

Structure (extended XYZ):
```
4
Lattice="3.6567 0.0000 0.0000 0.0000 3.6553 0.0000 0.0000 0.0000 3.6563" Properties=species:S:1:pos:R:3 pbc="T T T"
Ni 0.0000 1.8276 1.8282
Ir 1.8284 0.0000 1.8282
Fe 0.0000 0.0000 0.0000
Fe 1.8284 1.8276 0.0000
```

Properties
The formation enthalpy at 0 K comes out at -0.038 eV per atom. The theoretical density comes out at 12.320 Mg/m³. As for the uncorrected energy: -7.930 eV per atom.


# 8
The following is a PBE calculation of a relaxed structure of In2SiAs, from the Alexandria database.

Structure (extended XYZ):
```
4
Lattice="3.4334 0.0000 0.0000 0.0000 3.4334 0.0000 0.0000 0.0000 7.4702" Properties=species:S:1:pos:R:3 pbc="T T T"
As 1.7167 1.7167 5.6026
In 0.0000 0.0000 0.0505
In 0.0000 0.0000 3.6846
Si 1.7167 1.7167 1.8675
```

Properties
The value obtained for the formation energy (no corrections) is 0.35 eV per atom. The calculation puts the offset from the most stable computed form at 210.0 meV/atom. The theoretical density comes out at 6.273 Mg/m³. As for the uncorrected energy: -3.541 eV per atom.


# 9
The following is a PBE calculation of a relaxed structure of BeAlSe2, from the Alexandria database.

Structure (extended XYZ):
```
4
Lattice="-1.2840 0.0705 2.9506 -2.9490 -0.1616 -1.2794 0.2438 -6.5246 0.2621" Properties=species:S:1:pos:R:3 pbc="T T T"
Be -1.9337 -4.9389 1.0322
Al -2.0556 -1.6767 0.9011
Se 0.2401 -6.4247 0.2581
Se 0.1256 -3.3621 0.1351
```

Properties
The value obtained for the formation energy (no corrections) is 0.24 eV per atom. The calculation puts the offset from the most stable computed form at 650.6 meV/atom. The theoretical density comes out at 4.757 Mg/m³. As for the uncorrected energy: -3.367 eV per atom.


# 10
The following is a PBE calculation of a relaxed structure of Ac2La3Nd4, from the Alexandria database.

Structure (extended XYZ):
```
18
Lattice="6.3682 0.1114 0.5535 0.7316 9.9581 3.7926 0.3127 -0.2786 10.6727" Properties=species:S:1:pos:R:3 pbc="T T T"
Ac 2.0131 7.1812 8.2443
Ac 2.3124 4.9244 4.9046
Ac 5.3995 2.6096 6.7745
Ac 5.1001 4.8665 10.1143
La 1.5571 9.3734 11.3755
La 2.7722 2.8272 1.7096
La 5.8554 0.4175 3.6434
La 4.6403 6.9637 13.3092
La 2.0519 3.3445 8.3947
La 5.3606 6.4464 6.6241
Nd 3.7333 0.5014 9.3790
Nd 6.5452 1.5711 11.1417
Nd 3.6792 9.2895 5.6399
Nd 0.8673 8.2198 3.8772
Nd 4.9822 8.5820 10.0583
Nd 5.7285 4.0521 3.3638
Nd 2.4303 1.2089 4.9605
Nd 1.6841 5.7388 11.6551
```

Properties
The calculation puts the offset from the most stable computed form at 3.4 meV/atom. The formation enthalpy at 0 K comes out at 0.076 eV per atom. The theoretical density comes out at 7.060 Mg/m³. As for the uncorrected energy: -4.598 eV per atom.


# 11
The following is a PBE calculation of a relaxed structure of SmC6, from the Alexandria database.

Structure (extended XYZ):
```
7
Lattice="4.3295 0.0000 0.0000 -2.1648 3.7495 0.0000 0.0000 0.0000 4.6873" Properties=species:S:1:pos:R:3 pbc="T T T"
Sm 0.0000 0.0000 0.0000
C 1.4411 0.0000 2.3436
C 2.8884 0.0000 2.3436
C -0.7206 1.2481 2.3436
C -1.4442 2.5014 2.3436
C 1.4442 2.5014 2.3436
C 0.7206 1.2481 2.3436
```

Properties
The formation enthalpy at 0 K comes out at -0.038 eV per atom. The theoretical density comes out at 4.854 Mg/m³. As for the uncorrected energy: -8.619 eV per atom.


# 12
The following is a PBE calculation of a relaxed structure of Ce2RhPb, from the Alexandria database.

Structure (extended XYZ):
```
16
Lattice="-1.3496 4.9885 1.0836 -5.7023 -0.7162 -3.8054 -6.0750 -3.7752 9.8136" Properties=species:S:1:pos:R:3 pbc="T T T"
Ce -4.9824 1.8721 4.4735
Ce -8.1445 -1.3749 2.6182
Ce -5.3423 3.0621 -1.4535
Ce -7.7846 -2.5650 8.5452
Ce -5.9695 0.8252 8.0636
Ce -4.4450 -0.0562 1.1550
Ce -8.6819 0.5534 5.9368
Ce -7.1574 -0.3281 -0.9719
Rh -4.6782 0.4800 -1.6042
Rh -3.9693 -0.4932 3.7592
Rh -8.4487 0.0171 8.6959
Rh -9.1576 0.9903 3.3325
Pb -3.0151 3.0419 1.5381
Pb -10.1118 -2.5448 5.5537
Pb -7.0971 1.9189 1.6237
Pb -6.0298 -1.4218 5.4680
```

Properties
The calculation puts the offset from the most stable computed form at 14.2 meV/atom. The formation enthalpy at 0 K comes out at -0.521 eV per atom. The theoretical density comes out at 8.872 Mg/m³. As for the uncorrected energy: -6.253 eV per atom.


> Which value of uncorrected energy does entry 12 give?

-6.253 eV per atom


Please write out number 6 again, unchanged.
The following is a PBE calculation of a relaxed structure of Ba2PIO4, from the Alexandria database.

Structure (extended XYZ):
```
32
Lattice="-5.6334 4.5161 -6.0038 -5.7272 1.7999 6.7278 2.0249 8.4520 4.4577" Properties=species:S:1:pos:R:3 pbc="T T T"
Ba -4.0482 3.4906 1.9297
Ba -3.0550 10.8835 -0.7846
Ba -5.2874 11.2775 3.2519
Ba -6.2807 3.8846 5.9663
Ba -5.7948 9.5888 7.8002
Ba -7.3082 6.8038 -0.2180
Ba -3.5408 5.1793 -2.6186
Ba -2.0274 7.9642 5.3996
P -2.6108 9.6990 8.9234
P -7.4023 4.2166 1.9519
P -6.7248 5.0691 -3.7418
P -1.9333 10.5515 3.2297
I -8.3626 9.6867 1.7900
I -5.6226 7.4131 4.8522
I -0.9731 5.0814 3.3916
I -3.7131 7.3550 0.3294
O -4.0290 2.6933 4.5689
O -6.3029 11.4777 5.9668
O -5.3066 12.0747 0.6128
O -3.0328 3.2904 -0.7852
O -2.0955 1.5541 1.6406
O -2.7064 10.9751 1.9571
O -7.2401 13.2140 3.5410
O -6.6292 3.7929 3.2246
O -8.2724 5.4973 2.1263
O -2.9724 9.4056 7.4365
O -1.0632 9.2708 3.0554
O -6.3633 5.3625 -2.2548
O -2.9570 10.2761 4.3825
O -5.3946 5.0989 -4.5680
O -6.3786 4.4920 0.7991
O -3.9410 9.6692 9.7496
```

Properties
The value obtained for the formation energy (no corrections) is -2.71 eV per atom. The theoretical density comes out at 4.314 Mg/m³. As for the uncorrected energy: -6.537 eV per atom.


> Which value of uncorrected energy does entry 10 give?

-4.598 eV per atom